Entry from the Alexandria database: crystalline Pm6Ge2Se3I at its relaxed geometry (PBE).

Results
D(E_F)   4.01 states/eV per cell
ΔE_f (raw)   -1.415 eV per atom
Theoretical density   6846 kg/m3
Space-group type   C2/m, No. 12

Lattice parameters (Å, degrees): 4.256 8.650 9.535 101.81 102.89 90.00
Fractional positions:
1 Pm 0.321 0.894 0.643
2 Pm 0.669 0.579 0.338
3 Pm 0.679 0.106 0.357
4 Pm 0.008 0.283 0.016
5 Pm 0.992 0.717 0.984
6 Pm 0.331 0.421 0.662
7 Ge 0.833 0.666 0.665
8 Ge 0.167 0.334 0.335
9 Se 0.500 0.500 0.000
10 Se 0.840 0.163 0.680
11 Se 0.160 0.837 0.320
12 I 0.500 0.000 0.000

Entry from the Alexandria database: crystalline CrPRh2 at its relaxed geometry (PBE).

Results
D(E_F)   4.01 states/eV per cell
Theoretical density   8954 kg/m3
Formation energy from the elements   -120.7 meV per atom
Space-group type   Pmmm, No. 47

Lattice parameters (Å, degrees): 2.823 3.528 5.377 90.00 90.00 90.00
Last column: magnetic moment on the atom in μB.
Fractional positions:
1 Cr 0.500 0.500 0.250  1.98
2 P 0.500 0.500 0.750  -0.04
3 Rh 0.000 0.000 0.001  -0.04
4 Rh 0.000 0.000 0.499  -0.04

Entry from the Alexandria database: crystalline Li2Ac3UO8 at its relaxed geometry (PBE).

Results
ΔE_f (raw)   -2.845 eV per atom
Theoretical density   8183 kg/m3
Space-group type   P-3m1, No. 164

Lattice parameters (Å, degrees): 5.818 5.818 7.344 90.00 90.00 120.00
Last column: magnetic moment on the atom in μB.
Fractional positions:
1 Li 0.333 0.667 0.198  0.00
2 Li 0.667 0.333 0.802  0.00
3 Ac 0.333 0.667 0.661  0.01
4 Ac 0.667 0.333 0.339  0.01
5 Ac 0.000 0.000 0.000  0.00
6 U 0.000 0.000 0.500  1.03
7 O 0.333 0.667 0.952  0.00
8 O 0.667 0.333 0.048  0.00
9 O 0.163 0.837 0.316  -0.02
10 O 0.837 0.163 0.684  -0.02
11 O 0.163 0.327 0.316  -0.02
12 O 0.837 0.673 0.684  -0.02
13 O 0.673 0.837 0.316  -0.02
14 O 0.327 0.163 0.684  -0.02

Entry from the Alexandria database: crystalline CaHo2In2Ag2 at its relaxed geometry (PBE).

Results
D(E_F)   5.31 states/eV per cell
Theoretical density   7254 kg/m3
Formation energy from the elements   -267.8 meV per atom
Space-group type   R-3m, No. 166

Lattice parameters (Å, degrees): 4.882 4.882 9.471 75.06 75.06 60.00
Fractional positions:
1 Ca 0.000 0.000 0.000
2 Ho 0.128 0.128 0.617
3 Ho 0.872 0.872 0.383
4 In 0.745 0.745 0.766
5 In 0.255 0.255 0.234
6 Ag 0.591 0.591 0.227
7 Ag 0.409 0.409 0.773

Entry from the Alexandria database: crystalline Pm2PrEr3As6 at its relaxed geometry (PBE).

Results
D(E_F)   1.84 states/eV per cell
Theoretical density   7445 kg/m3
Formation energy from the elements   -1510.1 meV per atom
Space-group type   C2/m, No. 12

Lattice parameters (Å, degrees): 4.176 8.341 9.327 102.84 102.94 90.00
Fractional positions:
1 Pm 0.833 0.666 0.666
2 Pm 0.167 0.334 0.334
3 Pr 0.500 0.000 0.000
4 Er 0.500 0.500 0.000
5 Er 0.834 0.167 0.667
6 Er 0.166 0.833 0.333
7 As 0.330 0.922 0.660
8 As 0.664 0.588 0.329
9 As 0.670 0.078 0.340
10 As 0.998 0.258 0.996
11 As 0.002 0.742 0.004
12 As 0.336 0.412 0.671

Entry from the Alexandria database: crystalline ZrSb2Te at its relaxed geometry (PBE).

Results
D(E_F)   7.67 states/eV per cell
ΔE_f (raw)   0.299 eV per atom
Theoretical density   4907 kg/m3
Space-group type   I-42d, No. 122

Lattice parameters (Å, degrees): 6.652 6.652 8.494 66.95 66.95 90.00
Fractional positions:
1 Sb 0.592 0.125 0.250
2 Sb 0.158 0.625 0.250
3 Sb 0.375 0.408 0.750
4 Sb 0.875 0.842 0.750
5 Te 0.000 0.000 0.000
6 Te 0.750 0.250 0.500
7 Zr 0.500 0.500 0.000
8 Zr 0.250 0.750 0.500

Entry from the Alexandria database: crystalline Sr2CeAu at its relaxed geometry (PBE).

Results
D(E_F)   9.81 states/eV per cell
Theoretical density   5312 kg/m3
Formation energy from the elements   32.0 meV per atom
Space-group type   R-3m, No. 166

Lattice parameters (Å, degrees): 3.981 3.981 11.895 80.37 80.37 60.00
Last column: magnetic moment on the atom in μB.
Fractional positions:
1 Sr 0.107 0.107 0.679  0.01
2 Sr 0.893 0.893 0.321  0.01
3 Au 0.500 0.500 0.500  0.00
4 Ce 0.000 0.000 0.000  1.35

Entry from the Alexandria database: crystalline TmTeBr at its relaxed geometry (PBE).

Results
D(E_F)   0.00 states/eV per cell
ΔE_f (raw)   -1.519 eV per atom
Theoretical density   5576 kg/m3
Space-group type   P3m1, No. 156

Lattice parameters (Å, degrees): 4.225 4.225 7.252 90.00 90.00 120.00
Fractional positions:
1 Tm 0.667 0.333 0.332
2 Te 0.000 0.000 0.103
3 Br 0.333 0.667 0.565